[1]
BaNaNpI6 | GGA-PBE | optimized geometry

Cell: 8.1496 8.1496 14.9864 Å, 90.00 90.00 120.00°
Space group P-31c (No. 163)
One atom of each set of equivalent atoms:
Ba: 0.0000 0.0000 0.0000
Na: 0.3333 0.6667 0.2500
Np: 0.3333 0.6667 0.7500
I: 0.0109 0.3609 0.6306

Values from the calculation:
Crystal system: trigonal
Formation energy (no corrections) in eV per formula unit: -11.026
E_tot in eV/atom: -4.06
DOS at the Fermi energy in states/eV per cell: 18.0
Magnetic moment in μB/f.u.: 4.00

=====

[2]
BaNa2NpI8 | GGA-PBE | optimized geometry

Cell: 7.469 9.852 7.780 Å, 90.00 91.74 90.00°
Space group P2/m (No. 10)
One atom of each set of equivalent atoms:
Ba: 0.000 0.000 0.000
Na: 0.500 0.237 0.500
Np: 0.000 0.500 0.000
I: 0.232 0.285 0.842
I: 0.245 0.500 0.314
I: 0.272 0.000 0.349

Values from the calculation:
Crystal system: monoclinic
Formation energy (no corrections) in eV per formula unit: -13.715
E_tot in eV/atom: -3.63
DOS at the Fermi energy in states/eV per cell: 5.5
Magnetic moment in μB/f.u.: 2.94

=====

[3]
BaNa2IO | GGA-PBE | optimized geometry

Cell: 5.059 5.059 5.353 Å, 90.00 90.00 90.00°
Space group P4/mmm (No. 123)
One atom of each set of equivalent atoms:
Ba: 0.000 0.000 0.000
Na: 0.000 0.500 0.500
I: 0.500 0.500 0.000
O: 0.000 0.000 0.500

Values from the calculation:
Crystal system: tetragonal
Formation energy (no corrections) in eV per formula unit: -6.256
E_tot in eV/atom: -3.46
DOS at the Fermi energy in states/eV per cell: 1.0
Magnetic moment in μB/f.u.: 0.00

=====

[4]
BaNa2IO6 | GGA-PBE | optimized geometry

Cell: 5.9550 5.9550 15.5943 Å, 90.00 90.00 120.00°
Space group R3 (No. 146, hexagonal axes)
One atom of each set of equivalent atoms:
Ba: 0.0000 0.0000 0.0000
Na: 0.0000 0.0000 0.2170
Na: 0.0000 0.0000 0.7298
I: 0.0000 0.0000 0.5129
O: 0.0738 0.3931 0.1131
O: 0.0822 0.6722 0.2540

Values from the calculation:
Crystal system: trigonal
Formation energy (no corrections) in eV per formula unit: -12.599
E_tot in eV/atom: -4.85
DOS at the Fermi energy in states/eV per cell: 28.7
Magnetic moment in μB/f.u.: 1.07

=====

[5]
BaNaI2O | GGA-PBE | optimized geometry

Cell: 5.953 5.953 4.566 Å, 90.00 90.00 90.00°
Space group P4/mmm (No. 123)
One atom of each set of equivalent atoms:
Ba: 0.000 0.000 0.000
Na: 0.500 0.500 0.500
I: 0.000 0.500 0.500
O: 0.500 0.500 0.000

Values from the calculation:
Crystal system: tetragonal
Formation energy (no corrections) in eV per formula unit: -5.276
E_tot in eV/atom: -3.32
Energy above the most stable polymorph in this dataset in eV per atom: 0.0774
DOS at the Fermi energy in states/eV per cell: 4.6
Magnetic moment in μB/f.u.: 1.00

=====

[6]
Ba2Na3IO6 | GGA-PBE | optimized geometry

Cell: 6.354 11.557 6.016 Å, 90.00 109.01 90.00°
Space group C2/m (No. 12)
One atom of each set of equivalent atoms:
Ba: 0.000 0.170 0.000
Na: 0.000 0.000 0.500
Na: 0.000 0.373 0.500
I: 0.000 0.500 0.000
O: 0.202 0.368 0.226
O: 0.219 0.500 0.790

Values from the calculation:
Crystal system: monoclinic
Formation energy (no corrections) in eV per formula unit: -18.525
E_tot in eV/atom: -4.80
DOS at the Fermi energy in states/eV per cell: 0.0
Magnetic moment in μB/f.u.: 0.00

=====

[7]
BaNaI2O | GGA-PBE | optimized geometry

Cell: 6.900 6.900 4.570 Å, 90.00 90.00 90.00°
Space group P4/mmm (No. 123)
One atom of each set of equivalent atoms:
Ba: 0.000 0.000 0.000
Na: 0.500 0.500 0.500
I: 0.000 0.500 0.000
O: 0.000 0.000 0.500

Values from the calculation:
Crystal system: tetragonal
Formation energy (no corrections) in eV per formula unit: -5.663
E_tot in eV/atom: -3.39
Energy above the most stable polymorph in this dataset in eV per atom: 0.0000
DOS at the Fermi energy in states/eV per cell: 5.9
Magnetic moment in μB/f.u.: 0.24

=====

[8]
BaNaIO6 | GGA-PBE | optimized geometry

Cell: 5.8167 5.8167 5.4655 Å, 90.00 90.00 120.00°
Space group P312 (No. 149)
One atom of each set of equivalent atoms:
Ba: 0.0000 0.0000 0.0000
Na: 0.3333 0.6667 0.5000
I: 0.6667 0.3333 0.5000
O: 0.4018 0.0667 0.6972

Values from the calculation:
Crystal system: trigonal
Formation energy (no corrections) in eV per formula unit: -9.132
E_tot in eV/atom: -4.85
DOS at the Fermi energy in states/eV per cell: 7.4
Magnetic moment in μB/f.u.: 2.00